No. 1
Below is Li4Si2Hg after structural relaxation, with properties calculated at the PBE level.

Geometry as CIF:
```
data_Li4Si2Hg
_chemical_formula_sum 'Li4 Si2 Hg1'
_space_group_name_H-M_alt 'P 1'
_space_group_IT_number 1
_cell_length_a 5.6029
_cell_length_b 5.6029
_cell_length_c 4.8752
_cell_angle_alpha 90.00
_cell_angle_beta 90.00
_cell_angle_gamma 128.81
loop_
_space_group_symop_operation_xyz
'x,y,z'
loop_
_atom_site_label
_atom_site_type_symbol
_atom_site_fract_x
_atom_site_fract_y
_atom_site_fract_z
_atom_site_occupancy
Hg1 Hg 0.0000 0.0000 0.5000 1
Li1 Li 0.0000 0.0000 0.0000 1
Li2 Li 0.7511 0.2489 0.5000 1
Li3 Li 0.5000 0.5000 0.5000 1
Li4 Li 0.2489 0.7511 0.5000 1
Si1 Si 0.6807 0.3193 0.0000 1
Si2 Si 0.3193 0.6807 0.0000 1
```

Summary:
- Calculated total energy: -2.552 eV per atom
- SG: No. 65

***

No. 2
Below is LiSiHg2 after structural relaxation, with properties calculated at the PBE level.

Geometry as CIF:
```
data_LiSiHg2
_chemical_formula_sum 'Li3 Si3 Hg6'
_space_group_name_H-M_alt 'P 1'
_space_group_IT_number 1
_cell_length_a 8.2966
_cell_length_b 8.2966
_cell_length_c 8.2966
_cell_angle_alpha 146.56
_cell_angle_beta 131.71
_cell_angle_gamma 60.01
loop_
_space_group_symop_operation_xyz
'x,y,z'
loop_
_atom_site_label
_atom_site_type_symbol
_atom_site_fract_x
_atom_site_fract_y
_atom_site_fract_z
_atom_site_occupancy
Hg1 Hg 0.4170 0.1667 0.2503 1
Hg2 Hg 0.0836 0.8333 0.2503 1
Hg3 Hg 0.7503 0.5000 0.2503 1
Hg4 Hg 0.2497 0.5000 0.7497 1
Hg5 Hg 0.9164 0.1667 0.7497 1
Hg6 Hg 0.5830 0.8333 0.7497 1
Li1 Li 0.0000 0.0000 0.0000 1
Li2 Li 0.3334 0.3334 0.0000 1
Li3 Li 0.6666 0.6666 0.0000 1
Si1 Si 0.5000 0.0000 0.5000 1
Si2 Si 0.8334 0.3334 0.5000 1
Si3 Si 0.1666 0.6666 0.5000 1
```

Summary:
- Calculated total energy: -1.909 eV per atom
- SG: No. 71

***

No. 3
Below is Li2SiHg after structural relaxation, with properties calculated at the PBE level.

Geometry as CIF:
```
data_Li2SiHg
_chemical_formula_sum 'Li2 Si1 Hg1'
_space_group_name_H-M_alt 'P 1'
_space_group_IT_number 1
_cell_length_a 4.4770
_cell_length_b 4.4770
_cell_length_c 4.4770
_cell_angle_alpha 60.00
_cell_angle_beta 60.00
_cell_angle_gamma 60.00
loop_
_space_group_symop_operation_xyz
'x,y,z'
loop_
_atom_site_label
_atom_site_type_symbol
_atom_site_fract_x
_atom_site_fract_y
_atom_site_fract_z
_atom_site_occupancy
Hg1 Hg 0.2500 0.2500 0.2500 1
Li1 Li 0.0000 0.0000 0.0000 1
Li2 Li 0.7500 0.7500 0.7500 1
Si1 Si 0.5000 0.5000 0.5000 1
```

Summary:
- Calculated total energy: -2.583 eV per atom
- SG: No. 216

***

No. 4
Below is LiSmHg after structural relaxation, with properties calculated at the PBE level.

Geometry as CIF:
```
data_LiSmHg
_chemical_formula_sum 'Li1 Sm1 Hg1'
_space_group_name_H-M_alt 'P 1'
_space_group_IT_number 1
_cell_length_a 4.9296
_cell_length_b 4.9296
_cell_length_c 4.9296
_cell_angle_alpha 60.00
_cell_angle_beta 60.00
_cell_angle_gamma 60.00
loop_
_space_group_symop_operation_xyz
'x,y,z'
loop_
_atom_site_label
_atom_site_type_symbol
_atom_site_fract_x
_atom_site_fract_y
_atom_site_fract_z
_atom_site_occupancy
Hg1 Hg 0.0000 0.0000 0.0000 1
Li1 Li 0.2500 0.2500 0.2500 1
Sm1 Sm 0.7500 0.7500 0.7500 1
```

Summary:
- E above lowest polymorph: 224.1 meV per atom
- Spin magnetization: 0.5 Bohr magnetons per cell
- SG: No. 216